A geometry-optimized CaLaRu2O8 structure, computed with GGA-PBE.

Computed properties:
crystal system: trigonal
SG: P-3m1, No. 164
energy: -7.0519 eV per atom
E_form (uncorrected): -1623 meV/atom

CIF file:
```
data_CaLaRu2O8
_chemical_formula_sum 'Ca1 La1 Ru2 O8'
_symmetry_space_group_name_H-M 'P 1'
_symmetry_Int_Tables_number 1
_symmetry_space_group_name_Hall 'P 1'
_cell_length_a 5.9483
_cell_length_b 5.9483
_cell_length_c 7.0385
_cell_angle_alpha 90.00
_cell_angle_beta 90.00
_cell_angle_gamma 120.00
loop_
_atom_site_label
_atom_site_type_symbol
_atom_site_fract_x
_atom_site_fract_y
_atom_site_fract_z
Ca1 Ca 0.0000 0.0000 0.0000
La1 La 0.0000 0.0000 0.5000
Ru1 Ru 0.3333 0.6667 0.8241
Ru2 Ru 0.6667 0.3333 0.1759
O1 O 0.1635 0.3271 0.7423
O2 O 0.1635 0.8365 0.7423
O3 O 0.3271 0.1635 0.2577
O4 O 0.3333 0.6667 0.0736
O5 O 0.6667 0.3333 0.9264
O6 O 0.6729 0.8365 0.7423
O7 O 0.8365 0.1635 0.2577
O8 O 0.8365 0.6729 0.2577
```

***

A geometry-optimized Ca2LaRuO8 structure, computed with GGA-PBE.

Computed properties:
crystal system: triclinic
SG: P-1, No. 2
energy: -6.7085 eV per atom
E_form (uncorrected): -1886 meV/atom

CIF file:
```
data_Ca2LaRuO8
_chemical_formula_sum 'Ca2 La1 Ru1 O8'
_symmetry_space_group_name_H-M 'P 1'
_symmetry_Int_Tables_number 1
_symmetry_space_group_name_Hall 'P 1'
_cell_length_a 4.5339
_cell_length_b 5.3228
_cell_length_c 7.1051
_cell_angle_alpha 85.91
_cell_angle_beta 88.69
_cell_angle_gamma 88.19
loop_
_atom_site_label
_atom_site_type_symbol
_atom_site_fract_x
_atom_site_fract_y
_atom_site_fract_z
Ca1 Ca 0.0377 0.0353 0.2546
Ca2 Ca 0.9623 0.9647 0.7454
La1 La 0.5000 0.5000 0.5000
Ru1 Ru 0.5000 0.5000 0.0000
O1 O 0.0492 0.2571 0.5079
O2 O 0.0922 0.3911 0.0003
O3 O 0.4077 0.7344 0.1815
O4 O 0.4300 0.7453 0.7923
O5 O 0.5700 0.2547 0.2077
O6 O 0.5923 0.2656 0.8185
O7 O 0.9078 0.6089 0.9997
O8 O 0.9508 0.7429 0.4921
```

***

A geometry-optimized CaLaS2O8 structure, computed with GGA-PBE.

Computed properties:
crystal system: trigonal
SG: P-3m1, No. 164
energy: -6.5839 eV per atom
E_form (uncorrected): -2013 meV/atom

CIF file:
```
data_CaLaS2O8
_chemical_formula_sum 'Ca1 La1 S2 O8'
_symmetry_space_group_name_H-M 'P 1'
_symmetry_Int_Tables_number 1
_symmetry_space_group_name_Hall 'P 1'
_cell_length_a 5.2215
_cell_length_b 5.2215
_cell_length_c 7.7729
_cell_angle_alpha 90.00
_cell_angle_beta 90.00
_cell_angle_gamma 120.00
loop_
_atom_site_label
_atom_site_type_symbol
_atom_site_fract_x
_atom_site_fract_y
_atom_site_fract_z
Ca1 Ca 0.0000 0.0000 0.0000
La1 La 0.0000 0.0000 0.5000
S1 S 0.3333 0.6667 0.8145
S2 S 0.6667 0.3333 0.1855
O1 O 0.1774 0.3548 0.7501
O2 O 0.1774 0.8226 0.7501
O3 O 0.3333 0.6667 0.0035
O4 O 0.3548 0.1774 0.2499
O5 O 0.6452 0.8226 0.7501
O6 O 0.6667 0.3333 0.9965
O7 O 0.8226 0.1774 0.2499
O8 O 0.8226 0.6452 0.2499
```

***

A geometry-optimized Ca2LaSbO6 structure, computed with GGA-PBE.

Computed properties:
crystal system: monoclinic
SG: P2_1/c, No. 14
energy: -6.9162 eV per atom
E_form (uncorrected): -2636 meV/atom

CIF file:
```
data_Ca2LaSbO6
_chemical_formula_sum 'Ca4 La2 Sb2 O12'
_symmetry_space_group_name_H-M 'P 1'
_symmetry_Int_Tables_number 1
_symmetry_space_group_name_Hall 'P 1'
_cell_length_a 5.7306
_cell_length_b 6.0150
_cell_length_c 10.1022
_cell_angle_alpha 90.00
_cell_angle_beta 124.38
_cell_angle_gamma 90.00
loop_
_atom_site_label
_atom_site_type_symbol
_atom_site_fract_x
_atom_site_fract_y
_atom_site_fract_z
Ca1 Ca 0.2259 0.0476 0.2386
Ca2 Ca 0.2259 0.4524 0.7386
Ca3 Ca 0.7741 0.5476 0.2614
Ca4 Ca 0.7741 0.9524 0.7614
La1 La 0.0000 0.0000 0.5000
La2 La 0.0000 0.5000 0.0000
Sb1 Sb 0.5000 0.0000 0.0000
Sb2 Sb 0.5000 0.5000 0.5000
O1 O 0.1616 0.1738 0.9520
O2 O 0.1616 0.3262 0.4520
O3 O 0.2510 0.7228 0.9187
O4 O 0.2510 0.7772 0.4187
O5 O 0.3986 0.0725 0.7764
O6 O 0.3986 0.4275 0.2764
O7 O 0.6014 0.5725 0.7236
O8 O 0.6014 0.9275 0.2236
O9 O 0.7490 0.2228 0.5813
O10 O 0.7490 0.2772 0.0813
O11 O 0.8384 0.6738 0.5480
O12 O 0.8384 0.8262 0.0480
```

***

A geometry-optimized CaLa2SbO6 structure, computed with GGA-PBE.

Computed properties:
crystal system: trigonal
SG: R-3, No. 148
energy: -7.2291 eV per atom
E_form (uncorrected): -2656 meV/atom

CIF file:
```
data_CaLa2SbO6
_chemical_formula_sum 'Ca1 La2 Sb1 O6'
_symmetry_space_group_name_H-M 'P 1'
_symmetry_Int_Tables_number 1
_symmetry_space_group_name_Hall 'P 1'
_cell_length_a 6.0419
_cell_length_b 6.0419
_cell_length_c 6.0419
_cell_angle_alpha 60.30
_cell_angle_beta 60.30
_cell_angle_gamma 60.30
loop_
_atom_site_label
_atom_site_type_symbol
_atom_site_fract_x
_atom_site_fract_y
_atom_site_fract_z
Ca1 Ca 0.0000 0.0000 0.0000
La1 La 0.2731 0.2731 0.2731
La2 La 0.7269 0.7269 0.7269
Sb1 Sb 0.5000 0.5000 0.5000
O1 O 0.1479 0.7083 0.3754
O2 O 0.2917 0.6246 0.8521
O3 O 0.3754 0.1479 0.7083
O4 O 0.6246 0.8521 0.2917
O5 O 0.7083 0.3754 0.1479
O6 O 0.8521 0.2917 0.6246
```

***

A geometry-optimized Ca2La5Sb5O14 structure, computed with GGA-PBE.

Computed properties:
crystal system: monoclinic
SG: P2/m, No. 10
energy: -6.5935 eV per atom
E_form (uncorrected): -2029 meV/atom

CIF file:
```
data_Ca2La5Sb5O14
_chemical_formula_sum 'Ca2 La5 Sb5 O14'
_symmetry_space_group_name_H-M 'P 1'
_symmetry_Int_Tables_number 1
_symmetry_space_group_name_Hall 'P 1'
_cell_length_a 7.5858
_cell_length_b 8.1948
_cell_length_c 11.8613
_cell_angle_alpha 90.00
_cell_angle_beta 94.77
_cell_angle_gamma 90.00
loop_
_atom_site_label
_atom_site_type_symbol
_atom_site_fract_x
_atom_site_fract_y
_atom_site_fract_z
Ca1 Ca 0.0000 0.0000 0.0000
Ca2 Ca 0.0000 0.0000 0.5000
La1 La 0.2901 0.2166 0.2574
La2 La 0.2901 0.7834 0.2574
La3 La 0.5000 0.0000 0.0000
La4 La 0.7099 0.2166 0.7426
La5 La 0.7099 0.7834 0.7426
Sb1 Sb 0.2599 0.1776 0.7427
Sb2 Sb 0.2599 0.8224 0.7427
Sb3 Sb 0.5000 0.0000 0.5000
Sb4 Sb 0.7401 0.1776 0.2573
Sb5 Sb 0.7401 0.8224 0.2573
O1 O 0.2054 0.0000 0.8797
O2 O 0.2184 0.0000 0.3836
O3 O 0.2276 0.0000 0.1376
O4 O 0.4562 0.2062 0.6252
O5 O 0.4562 0.7938 0.6252
O6 O 0.4770 0.2172 0.8522
O7 O 0.4770 0.7828 0.8522
O8 O 0.5230 0.2172 0.1478
O9 O 0.5230 0.7828 0.1478
O10 O 0.5438 0.2062 0.3748
O11 O 0.5438 0.7938 0.3748
O12 O 0.7724 0.0000 0.8624
O13 O 0.7816 0.0000 0.6164
O14 O 0.7946 0.0000 0.1203
```

***

Which of these has the highest E_form (uncorrected)?
CaLaRu2O8

***

The lowest E_form (uncorrected) belongs to which entry?
CaLa2SbO6